Density functional theory data (GGA-PBE) for an optimized crystal structure of Mg5CdIn2.

Lattice parameters (Å, degrees): 4.818 4.818 8.618 106.23 106.23 90.00
Atoms (fractional coordinates):
In (0.253, 0.253, 0.505)
In (0.747, 0.747, 0.495)
Mg (0.376, 0.876, 0.752)
Cd (0.000, 0.000, 0.000)
Mg (0.624, 0.124, 0.248)
Mg (0.124, 0.624, 0.248)
Mg (0.876, 0.376, 0.752)
Mg (0.500, 0.500, 0.000)

Properties
Energy of formation from the pure elements = -0.058 eV/atom
Density = 4.2 g cm⁻³
Symmetry = I4/mmm
Total magnetic moment = 0.00 Bohr magnetons per cell